The following is a GGA-PBE calculation of a geometry-optimized Zn2NiP structure, from the Alexandria database.

As for the space group: Cmmm, No. 65. As for the formation energy: 0.03 eV/atom. The calculation puts the density at 6.83 g/cm³. The total energy comes out at -0.25037 Ry/atom.

The structure in POSCAR format:
```
Zn2NiP
1.0
2.4903 -3.8029 0.0000
2.4903 3.8029 0.0000
0.0000 0.0000 2.8281
P Zn Ni
1 2 1
Direct
0.5000 0.5000 0.5000 P
0.0000 0.5000 0.0000 Zn
0.5000 0.0000 0.0000 Zn
0.0000 0.0000 0.5000 Ni
```

The following is a GGA-PBE calculation of a geometry-optimized ZnNi4P2 structure, from the Alexandria database.

As for the space group: Ima2, No. 46. As for the formation energy: -0.31 eV/atom. The calculation puts the density at 6.71 g/cm³. The total energy comes out at -0.39276 Ry/atom.

The structure in POSCAR format:
```
ZnNi4P2
1.0
4.5398 -0.0002 -2.0325
-1.5598 6.4412 -3.4804
0.2035 -0.7686 6.5357
Ni Zn P
8 2 4
Direct
0.7773 0.0596 0.1191 Ni
0.9323 0.1342 0.6929 Ni
0.9079 0.6905 0.3807 Ni
0.9326 0.5587 0.6930 Ni
0.3251 0.5424 0.0849 Ni
0.4895 0.6159 0.8073 Ni
0.4907 0.2078 0.4154 Ni
0.4892 0.1911 0.8070 Ni
0.5223 0.7989 0.5980 Zn
0.1745 0.9511 0.9021 Zn
0.8459 0.4719 0.9440 P
0.6054 0.3751 0.2501 P
0.6051 0.8751 0.2501 P
0.1521 0.2778 0.5556 P
```

The following is a GGA-PBE calculation of a geometry-optimized ZrNiP3 structure, from the Alexandria database.

As for the space group: Pm-3m, No. 221. As for the formation energy: 0.90 eV/atom. The distance to the lowest polymorph of the same formula comes out at 768 meV/atom. The calculation puts the density at 3.29 g/cm³. The total energy comes out at -0.38332 Ry/atom.

The structure in POSCAR format:
```
ZrNiP3
1.0
-4.1783 2.4371 1.1401
-2.5887 -4.2153 -0.4763
0.7335 -0.9944 4.8136
P Zr Ni
3 1 1
Direct
0.0000 0.0000 0.5000 P
0.5000 0.0000 0.0000 P
0.0000 0.5000 0.0000 P
0.0000 0.0000 0.0000 Zr
0.5000 0.5000 0.5000 Ni
```

The following is a GGA-PBE calculation of a geometry-optimized ZrNiP structure, from the Alexandria database.

As for the space group: P6_3/mmc, No. 194. As for the formation energy: -1.14 eV/atom. The calculation puts the density at 6.70 g/cm³. The total energy comes out at -0.56708 Ry/atom.

The structure in POSCAR format:
```
ZrNiP
1.0
3.7630 0.0000 0.0000
-1.8815 3.2589 0.0000
0.0000 0.0000 7.3160
Zr P Ni
2 2 2
Direct
0.0000 0.0000 0.5000 Zr
0.0000 0.0000 0.0000 Zr
0.6667 0.3333 0.2500 P
0.3333 0.6667 0.7500 P
0.6667 0.3333 0.7500 Ni
0.3333 0.6667 0.2500 Ni
```

The following is a GGA-PBE calculation of a geometry-optimized ZrNiP3 structure, from the Alexandria database.

As for the space group: Pm-3m, No. 221. As for the formation energy: 0.13 eV/atom. The distance to the lowest polymorph of the same formula comes out at 0 meV/atom. The calculation puts the density at 4.77 g/cm³. The total energy comes out at -0.43973 Ry/atom.

The structure in POSCAR format:
```
ZrNiP3
1.0
-2.4909 0.8073 3.5239
2.1816 -3.0766 2.2469
2.8827 3.0259 1.3444
P Ni Zr
3 1 1
Direct
0.0000 0.5000 0.0000 P
0.0000 0.0000 0.5000 P
0.5000 0.0000 0.0000 P
0.0000 0.0000 0.0000 Ni
0.5000 0.5000 0.5000 Zr
```

The following is a GGA-PBE calculation of a geometry-optimized ZrNiP structure, from the Alexandria database.

As for the space group: I4mm, No. 107. As for the formation energy: -0.50 eV/atom. The calculation puts the density at 6.70 g/cm³. The total energy comes out at -0.52013 Ry/atom.

The structure in POSCAR format:
```
ZrNiP
1.0
3.0609 0.6750 4.2613
-0.5605 -1.5235 5.0347
-0.2268 -1.4176 -5.0914
Ni Zr P
1 1 1
Direct
0.9648 0.9648 0.0000 Ni
0.6671 0.6671 0.0000 Zr
0.3681 0.3681 0.0000 P
```

Repeat the first record exactly.
The following is a GGA-PBE calculation of a geometry-optimized Zn2NiP structure, from the Alexandria database.

As for the space group: Cmmm, No. 65. As for the formation energy: 0.03 eV/atom. The calculation puts the density at 6.83 g/cm³. The total energy comes out at -0.25037 Ry/atom.

The structure in POSCAR format:
```
Zn2NiP
1.0
2.4903 -3.8029 0.0000
2.4903 3.8029 0.0000
0.0000 0.0000 2.8281
P Zn Ni
1 2 1
Direct
0.5000 0.5000 0.5000 P
0.0000 0.5000 0.0000 Zn
0.5000 0.0000 0.0000 Zn
0.0000 0.0000 0.5000 Ni
```

What is the formula in the third record?
ZrNiP3